# PaTaMoO6

A relaxed structure of PaTaMoO6 (PBE+U, Alexandria via LeMat-Bulk).

Structure (POSCAR):
```
PaTaMoO6
1.0
5.559 0.000 0.000
-2.780 4.814 0.000
0.000 0.000 9.045
Pa Ta Mo O
2 2 2 12
direct
0.333 0.667 0.250
0.667 0.333 0.750
0.333 0.667 0.750
0.667 0.333 0.250
0.000 0.000 0.000
0.000 0.000 0.500
0.027 0.354 0.630
0.027 0.673 0.870
0.327 0.354 0.870
0.327 0.973 0.630
0.354 0.027 0.130
0.354 0.327 0.370
0.646 0.673 0.630
0.646 0.973 0.870
0.673 0.027 0.370
0.673 0.646 0.130
0.973 0.327 0.130
0.973 0.646 0.370
```

Properties
The crystal system is trigonal. The calculation puts the total magnetization at 4.06 μB per formula unit. The value obtained for the final energy is -163.565 eV per cell. The value obtained for the density of states at the Fermi level is 0.42 states/eV per atom.